Record 1
## Dy2B (PBE-GGA)

Data for a relaxed structure of Dy2B.

abc: 7.809 7.809 7.809
angles: 60.00 60.00 60.00
Element x y z (fractional)
B1 0.250 0.250 0.250
B2 0.500 0.500 0.500
Dy1 0.875 0.375 0.375
Dy2 0.375 0.875 0.375
Dy3 0.375 0.375 0.375
Dy4 0.375 0.375 0.875

## Properties
- distance to the lowest polymorph of the same formula (meV per atom) = 0



Record 2
## ErFeCo (PBE-GGA)

Data for a relaxed structure of ErFeCo.

abc: 6.740 4.057 7.150
angles: 90.00 90.00 90.00
Element x y z (fractional)
Co1 0.157 0.750 0.073
Co2 0.657 0.750 0.427
Co3 0.343 0.250 0.573
Co4 0.843 0.250 0.927
Er1 0.498 0.250 0.192
Er2 0.998 0.250 0.308
Er3 0.002 0.750 0.692
Er4 0.502 0.750 0.808
Fe1 0.803 0.750 0.097
Fe2 0.303 0.750 0.403
Fe3 0.697 0.250 0.597
Fe4 0.197 0.250 0.903

## Properties
- E_form (meV per atom) = -99.1



Record 3
## Zr3NbAl2C2 (PBE-GGA)

Data for a relaxed structure of Zr3NbAl2C2.

abc: 3.269 3.269 14.431
angles: 90.00 90.00 120.00
Element x y z (fractional)
Al1 0.000 0.000 0.248
Al2 0.333 0.667 0.757
C1 0.667 0.333 0.503
C2 0.667 0.333 0.993
Nb1 0.000 0.000 0.910
Zr1 0.333 0.667 0.083
Zr2 0.333 0.667 0.413
Zr3 0.000 0.000 0.593



What are the total DFT energy (no corrections) values for these records? In order: -24.71 -81.10 -66.52 eV for the cell shown.
What are the total moment values for these records? In order: 0.0 3.4 0.0 μB/f.u..